DFT (PBE-GGA) results for crystalline LiLa3Ru at its relaxed geometry.

Properties
D(E_F) ... 10.6 states/eV per cell
Calculated formation energy ... -12.7 kJ/mol of atoms

a b c (Å): 6.553 6.651 7.194
angles (deg): 101.67 94.90 96.97
Atoms (fractional coordinates):
Li1 0.000 0.000 0.000
Li2 0.221 0.055 0.320
La1 0.248 0.575 0.461
La2 0.428 0.168 0.777
La3 0.511 0.741 0.029
La4 0.697 0.297 0.308
La5 0.812 0.873 0.551
La6 0.982 0.474 0.912
Ru1 0.305 0.355 0.107
Ru2 0.645 0.548 0.667